Material: Na23Sr6
Method: DFT, GGA-PBE
State: relaxed

total DFT energy (no corrections)	-1.376	eV per atom

Cell lengths 16.7420, 16.7420, 16.7420 Å; angles 90.00, 90.00, 90.00 degrees
Closest atoms and distances in Å follow each position.
Space group Fm-3m (No. 225)
Symmetry-distinct sites (fractional):
Na: 0.0000 0.0000 0.0000 (multiplicity 4)  8 Na 3.42
Na: 0.0000 0.2500 0.2500 (multiplicity 24)  8 Na 3.42-3.70
Na: 0.1179 0.1179 0.1179 (multiplicity 32)  7 Na 3.42-3.76
Na: 0.1698 0.1698 0.3302 (multiplicity 32)  9 Na 3.42-3.80
Sr: 0.0000 0.0000 0.3114 (multiplicity 24)  12 Na 4.03-4.31, 4 Sr 4.47

---

Material: Tb3NdSm5
Method: DFT, GGA-PBE
State: relaxed

total DFT energy (no corrections)	-4.526	eV per atom

Cell lengths 16.4626, 6.7795, 11.5852 Å; angles 90.00, 109.73, 90.00 degrees
Closest atoms and distances in Å follow each position.
Space group C2/c (No. 15)
Symmetry-distinct sites (fractional):
Tb: 0.0000 0.0000 0.0000 (multiplicity 4)  2 Nd 3.31, 2 Sm 3.60
Tb: 0.2401 0.3945 0.3684 (multiplicity 8)  7 Sm 3.35-3.66, 1 Tb 3.55
Nd: 0.0000 0.2366 0.2500 (multiplicity 4)  1 Sm 3.03, 2 Tb 3.31
Sm: 0.0000 0.3163 0.7500 (multiplicity 4)  1 Nd 3.03, 2 Sm 3.07
Sm: 0.1099 0.4981 0.0493 (multiplicity 8)  4 Sm 3.41-3.62, 5 Tb 3.54-3.81, 1 Nd 3.78
Sm: 0.1732 0.0998 0.8545 (multiplicity 8)  2 Sm 3.07-3.43, 2 Tb 3.35

---

Material: Mg2Bi2Pd
Method: DFT, GGA-PBE
State: relaxed

total DFT energy (no corrections)	-3.317	eV per atom

Cell lengths 7.0652, 7.0652, 4.8967 Å; angles 90.00, 90.00, 90.00 degrees
Closest atoms and distances in Å follow each position.
Space group P4/mbm (No. 127)
Symmetry-distinct sites (fractional):
Mg: 0.1563 0.3437 0.0000 (multiplicity 4)  2 Pd 2.67
Bi: 0.1637 0.6637 0.5000 (multiplicity 4)  6 Mg 3.04-3.33, 1 Bi 3.27
Pd: 0.0000 0.0000 0.0000 (multiplicity 2)  4 Mg 2.67

---

Material: Mg3ZrPd
Method: DFT, GGA-PBE
State: relaxed

total DFT energy (no corrections)	-2.329	eV per atom

Cell lengths 5.4775, 5.4775, 5.4775 Å; angles 90.00, 90.00, 90.00 degrees
Closest atoms and distances in Å follow each position.
Space group Pm-3m (No. 221)
Symmetry-distinct sites (fractional):
Mg: 0.0000 0.0000 0.5000 (multiplicity 3)  2 Zr 2.74
Zr: 0.0000 0.0000 0.0000 (multiplicity 1)  6 Mg 2.74
Pd: 0.5000 0.5000 0.5000 (multiplicity 1)  12 Mg 3.87

---

Material: Pr2Mg12Cd5
Method: DFT, GGA-PBE
State: relaxed

total DFT energy (no corrections)	-1.897	eV per atom

Cell lengths 10.1746, 10.1746, 15.0392 Å; angles 90.00, 90.00, 120.00 degrees
Closest atoms and distances in Å follow each position.
Space group R-3m (No. 166, hexagonal axes)
Symmetry-distinct sites (fractional):
Pr: 0.0000 0.0000 0.1705 (multiplicity 6)  4 Cd 3.49-3.82, 12 Mg 3.57-3.73
Mg: 0.0000 0.3011 0.5000 (multiplicity 18)  2 Cd 2.95, 6 Mg 3.06-3.14
Mg: 0.0057 0.5029 0.6524 (multiplicity 18)  6 Mg 2.92-3.14, 3 Cd 2.97-3.24
Cd: 0.0000 0.0000 0.4025 (multiplicity 6)  4 Cd 2.93-3.12, 3 Mg 3.24
Cd: 0.0000 0.5000 0.0000 (multiplicity 9)  8 Mg 2.95-2.97, 2 Cd 3.12

---

Material: NdPaCo2
Method: DFT, GGA-PBE
State: relaxed

total DFT energy (no corrections)	-7.316	eV per atom

Cell lengths 3.3520, 3.3520, 6.9779 Å; angles 90.00, 90.00, 90.00 degrees
Closest atoms and distances in Å follow each position.
Space group P4/mmm (No. 123)
Symmetry-distinct sites (fractional):
Nd: 0.0000 0.0000 0.0000 (multiplicity 1)  8 Co 3.21, 4 Nd 3.35, 2 Pa 3.49
Pa: 0.0000 0.0000 0.5000 (multiplicity 1)  8 Co 2.72
Co: 0.5000 0.5000 0.3100 (multiplicity 2)  1 Co 2.65, 4 Pa 2.72